No. 1
ErThCuMo after structural relaxation, computed with GGA-PBE.

Cell lengths 4.9748, 4.9748, 4.9748 Å; angles 60.00, 60.00, 60.00 degrees
Closest atoms and distances in Å follow each position.
Positions (direct):
Mo 0.7500 0.7500 0.7500  4 Th 3.05, 4 Er 3.05
Cu 0.2500 0.2500 0.2500  4 Th 3.05, 4 Er 3.05
Th 0.0000 0.0000 0.0000  4 Cu 3.05, 4 Mo 3.05
Er 0.5000 0.5000 0.5000  4 Mo 3.05, 4 Cu 3.05

ΔE_f	76	meV per atom
VASP energy	-0.4889	Ry/atom

***

No. 2
Er2CuN after structural relaxation, computed with GGA-PBE.

Cell lengths 3.3324, 3.3324, 8.4946 Å; angles 78.69, 78.69, 60.00 degrees
Closest atoms and distances in Å follow each position.
Positions (direct):
N 0.5000 0.5000 0.5000  6 Er 2.35
Cu 0.0000 0.0000 0.0000  2 Er 2.79
Er 0.1125 0.1125 0.6624  3 N 2.35
Er 0.8875 0.8875 0.3376  3 N 2.35

formation energy without anion corrections	-449.0	meV/atom
VASP energy	-0.4289	Ry/atom

***

No. 3
Na2ErCuO4 after structural relaxation, computed with GGA-PBE.

Cell lengths 3.1039, 5.9597, 6.2267 Å; angles 115.10, 90.00, 90.00 degrees
Closest atoms and distances in Å follow each position.
Positions (direct):
Na 0.5000 0.0000 0.5000  4 O 2.36
Na 0.0000 0.5000 0.5000  2 O 2.29
Er 0.5000 0.5000 0.0000  6 O 2.19-2.38
Cu 0.0000 0.0000 0.0000  4 O 1.96
O 0.5000 0.2034 0.1620  2 Cu 1.96
O 0.5000 0.7966 0.8380  2 Cu 1.96
O 0.0000 0.2989 0.7415  2 Er 2.19, 3 Na 2.29-2.36
O 0.0000 0.7011 0.2585  2 Er 2.19, 3 Na 2.29-2.36

formation energy without anion corrections	-1784.0	meV/atom
VASP energy	-0.4171	Ry/atom

***

No. 4
NaEr2Cu2S4 after structural relaxation, computed with GGA-PBE.

Cell lengths 3.5837, 7.2926, 7.2257 Å; angles 114.88, 90.00, 104.22 degrees
Closest atoms and distances in Å follow each position.
Positions (direct):
Na 0.0000 0.0000 0.0000  6 S 2.74-2.83
Er 0.8712 0.7425 0.4355  7 S 2.74-2.93, 1 Cu 2.97
Er 0.1288 0.2575 0.5645  7 S 2.74-2.93, 1 Cu 2.97
Cu 0.3127 0.6254 0.9737  3 S 2.33-2.41
Cu 0.6873 0.3746 0.0263  3 S 2.33-2.41
S 0.7901 0.5803 0.7361  2 Cu 2.41
S 0.2099 0.4197 0.2639  2 Cu 2.41
S 0.4699 0.9398 0.2724  1 Cu 2.33
S 0.5301 0.0602 0.7276  1 Cu 2.33

formation energy without anion corrections	-1186.9	meV/atom
VASP energy	-0.3743	Ry/atom

***

No. 5
NaEr2CuS4 after structural relaxation, computed with GGA-PBE.

Cell lengths 3.6548, 7.2291, 13.7413 Å; angles 90.00, 90.00, 104.64 degrees
Closest atoms and distances in Å follow each position.
Positions (direct):
Na 0.2391 0.4783 0.7500  1 Cu 2.62, 6 S 2.76-2.93
Na 0.7609 0.5217 0.2500  1 Cu 2.62, 6 S 2.76-2.93
Er 0.3701 0.7401 0.5694  5 S 2.68-2.79
Er 0.6299 0.2599 0.0694  5 S 2.68-2.79
Er 0.6299 0.2599 0.4306  5 S 2.68-2.79
Er 0.3701 0.7401 0.9306  5 S 2.68-2.79
Cu 0.0520 0.1040 0.7500  1 S 2.09
Cu 0.9480 0.8960 0.2500  1 S 2.09
S 0.2772 0.5544 0.1008  3 Er 2.68-2.79, 2 Na 2.76
S 0.7228 0.4456 0.6008  3 Er 2.68-2.79, 2 Na 2.76
S 0.7228 0.4456 0.8992  3 Er 2.68-2.79, 2 Na 2.76
S 0.2772 0.5544 0.3992  3 Er 2.68-2.79, 2 Na 2.76
S 0.0000 0.0000 0.5000  4 Er 2.75
S 0.0000 0.0000 0.0000  4 Er 2.75
S 0.9026 0.8052 0.7500  1 Cu 2.09
S 0.0974 0.1948 0.2500  1 Cu 2.09

formation energy without anion corrections	-1166.7	meV/atom
VASP energy	-0.3710	Ry/atom

***

No. 6
NaErCuS2 after structural relaxation, computed with GGA-PBE.

Cell lengths 4.5386, 6.6991, 7.5663 Å; angles 99.43, 90.00, 90.00 degrees
Closest atoms and distances in Å follow each position.
Positions (direct):
Na 0.1426 0.5000 0.7500  6 S 2.96-3.24
Na 0.8574 0.5000 0.2500  6 S 2.96-3.24
Er 0.4916 0.0000 0.2500  4 S 2.68-2.69, 4 Cu 2.93-2.98
Er 0.5084 0.0000 0.7500  4 S 2.68-2.69, 4 Cu 2.93-2.98
Cu 0.0000 0.0000 0.0000  2 S 2.23
Cu 0.0000 0.0000 0.5000  2 S 2.23
S 0.6848 0.7413 0.9659  1 Cu 2.23
S 0.6848 0.2587 0.5341  1 Cu 2.23
S 0.3152 0.7413 0.4659  1 Cu 2.23
S 0.3152 0.2587 0.0341  1 Cu 2.23

formation energy without anion corrections	-1025.4	meV/atom
VASP energy	-0.3434	Ry/atom